MgNi2W: optimized geometry, GGA-PBEsol.

Cell lengths 2.6218, 4.3922, 4.5212 Å; angles 90.00, 90.08, 90.00 degrees
Space group Pm (No. 6)
Symmetry-distinct sites (fractional):
Mg  0.0000  0.0000  0.0000 x1
Ni  0.5011  0.0000  0.4816 x1
Ni  0.5007  0.5000  0.0843 x1
W  0.0021  0.5000  0.5783 x1

Results
Energy: -27.76 eV/cell
Calculated formation energy: 0.019 eV/atom

---

MgNi2W: optimized geometry, GGA-PBEsol.

Cell lengths 2.6266, 3.8570, 5.2602 Å; angles 90.00, 90.00, 90.00 degrees
Space group Pmm2 (No. 25)
Symmetry-distinct sites (fractional):
Mg  0.0000  0.0000  0.0000 x1
Ni  0.0000  0.0000  0.4788 x1
Ni  0.5000  0.5000  0.2067 x1
W  0.5000  0.5000  0.6705 x1

Results
Energy: -27.03 eV/cell
Calculated formation energy: 0.203 eV/atom

---

MgNiW2: optimized geometry, GGA-PBEsol.

Cell lengths 3.1691, 3.1691, 6.0084 Å; angles 90.00, 90.00, 90.00 degrees
Space group P4mm (No. 99)
Symmetry-distinct sites (fractional):
Mg  0.0000  0.0000  0.0000 x1
Ni  0.5000  0.5000  0.2364 x1
W  0.0000  0.0000  0.4838 x1
W  0.5000  0.5000  0.7053 x1

Results
Energy: -34.17 eV/cell
Calculated formation energy: 0.331 eV/atom

---

Y2MgNi: optimized geometry, GGA-PBEsol.

Cell lengths 3.3555, 4.9875, 10.7075 Å; angles 90.00, 90.00, 90.00 degrees
Space group Imm2 (No. 44)
Symmetry-distinct sites (fractional):
Y  0.0000  0.0000  0.0000 x2
Y  0.0000  0.5000  0.1972 x2
Mg  0.0000  0.5000  0.8041 x2
Ni  0.0000  0.0000  0.4967 x2

Results
Energy: -44.07 eV/cell
Calculated formation energy: -0.129 eV/atom

---

YMg2Ni: optimized geometry, GGA-PBEsol.

Cell lengths 3.2579, 3.2579, 7.6153 Å; angles 90.00, 90.00, 90.00 degrees
Space group P4mm (No. 99)
Symmetry-distinct sites (fractional):
Y  0.0000  0.0000  0.0000 x1
Mg  0.0000  0.0000  0.6011 x1
Mg  0.5000  0.5000  0.3281 x1
Ni  0.5000  0.5000  0.7892 x1

Results
Energy: -17.01 eV/cell
Calculated formation energy: -0.150 eV/atom

---

YMgNi4: optimized geometry, GGA-PBEsol.

Cell lengths 6.8859, 6.8859, 6.8859 Å; angles 90.00, 90.00, 90.00 degrees
Space group F-43m (No. 216)
Symmetry-distinct sites (fractional):
Y  0.0000  0.0000  0.0000 x4
Mg  0.2500  0.2500  0.2500 x4
Ni  0.1239  0.1239  0.6239 x16

Results
Energy: -142.14 eV/cell
Calculated formation energy: -0.394 eV/atom

---

YMg2Ni: optimized geometry, GGA-PBEsol.

Cell lengths 3.9895, 4.0401, 4.9258 Å; angles 90.00, 90.00, 90.00 degrees
Space group Pmmm (No. 47)
Symmetry-distinct sites (fractional):
Y  0.0000  0.0000  0.0000 x1
Mg  0.0000  0.5000  0.5000 x1
Mg  0.5000  0.0000  0.5000 x1
Ni  0.5000  0.5000  0.0000 x1

Results
Energy: -16.59 eV/cell
Calculated formation energy: -0.045 eV/atom

---

MgZn2Ni2: optimized geometry, GGA-PBEsol.

Cell lengths 6.9404, 6.9404, 2.7032 Å; angles 90.00, 90.00, 90.00 degrees
Space group P4/mbm (No. 127)
Symmetry-distinct sites (fractional):
Mg  0.0000  0.0000  0.0000 x2
Zn  0.1286  0.3714  0.0000 x4
Ni  0.1684  0.6684  0.5000 x4

Results
Energy: -36.38 eV/cell
Calculated formation energy: -0.199 eV/atom